[1]
Compound: CaI2NCl
Source: Alexandria via LeMat-Bulk
Functional: PBE
Structure: relaxed

The space group is P4/mmm (No. 123) and the conventional cell measures 6.179, 6.179 and 4.741 Å, with angles of 90.00, 90.00 and 90.00 degrees. The inequivalent atoms are Ca at (0.000, 0.000, 0.000), I at (0.000, 0.500, 0.000), N at (0.000, 0.000, 0.500) and Cl at (0.500, 0.500, 0.500).

The relative energy among the computed polymorphs comes out at 0 meV/atom. The calculation puts the density at 3.15 g/cm3.



[2]
Compound: CaI2NCl
Source: Alexandria via LeMat-Bulk
Functional: PBE
Structure: relaxed

The space group is P4/mmm (No. 123) and the conventional cell measures 6.488, 6.488 and 5.053 Å, with angles of 90.00, 90.00 and 90.00 degrees. The inequivalent atoms are Ca at (0.000, 0.000, 0.000), I at (0.000, 0.500, 0.500), N at (0.500, 0.500, 0.000) and Cl at (0.000, 0.000, 0.500).

The relative energy among the computed polymorphs comes out at 123 meV/atom. The calculation puts the density at 2.68 g/cm3.



[3]
Compound: CaIN2Cl
Source: Alexandria via LeMat-Bulk
Functional: PBE
Structure: relaxed

The space group is P4/mmm (No. 123) and the conventional cell measures 4.762, 4.762 and 6.447 Å, with angles of 90.00, 90.00 and 90.00 degrees. The inequivalent atoms are Ca at (0.000, 0.000, 0.000), I at (0.000, 0.000, 0.500), N at (0.000, 0.500, 0.000) and Cl at (0.500, 0.500, 0.500).

The relative energy among the computed polymorphs comes out at 0 meV/atom. The calculation puts the density at 2.62 g/cm3.



[4]
Compound: CaIN2Cl
Source: Alexandria via LeMat-Bulk
Functional: PBE
Structure: relaxed

The space group is P4/mmm (No. 123) and the conventional cell measures 4.392, 4.392 and 5.116 Å, with angles of 90.00, 90.00 and 90.00 degrees. The inequivalent atoms are Ca at (0.000, 0.000, 0.000), I at (0.500, 0.500, 0.000), N at (0.000, 0.500, 0.500) and Cl at (0.500, 0.500, 0.500).

The relative energy among the computed polymorphs comes out at 352 meV/atom. The calculation puts the density at 3.88 g/cm3.



[5]
Compound: CaI2NCl
Source: Alexandria via LeMat-Bulk
Functional: PBE
Structure: relaxed

The space group is P4/mmm (No. 123) and the conventional cell measures 6.461, 6.461 and 3.566 Å, with angles of 90.00, 90.00 and 90.00 degrees. The inequivalent atoms are Ca at (0.000, 0.000, 0.000), I at (0.000, 0.500, 0.500), N at (0.500, 0.500, 0.000) and Cl at (0.500, 0.500, 0.500).

The relative energy among the computed polymorphs comes out at 191 meV/atom. The calculation puts the density at 3.83 g/cm3.



[6]
Compound: Na2CaI2Cl2
Source: Alexandria via LeMat-Bulk
Functional: PBE
Structure: relaxed

The space group is P-1 (No. 2) and the conventional cell measures 4.300, 7.559 and 7.753 Å, with angles of 69.63, 87.93 and 80.27 degrees. The inequivalent atoms are Na at (0.107, 0.070, 0.214), Ca at (0.500, 0.500, 0.500), I at (0.419, 0.727, 0.084) and Cl at (0.069, 0.259, 0.473).

The calculation puts the density at 2.93 g/cm3.



[7]
Compound: Ca2IClO4
Source: Alexandria via LeMat-Bulk
Functional: PBE
Structure: relaxed

The space group is C2/m (No. 12) and the conventional cell measures 10.482, 3.419 and 8.775 Å, with angles of 90.00, 115.16 and 90.00 degrees. The inequivalent atoms are Ca at (0.185, 0.000, 0.257), I at (0.000, 0.000, 0.500), Cl at (0.000, 0.500, 0.000), O at (0.109, 0.500, 0.434) and O at (0.168, 0.000, 0.723).

The calculation puts the density at 3.58 g/cm3.



[8]
Compound: CaP2ICl
Source: Alexandria via LeMat-Bulk
Functional: PBE
Structure: relaxed

The space group is P4/mmm (No. 123) and the conventional cell measures 5.181, 5.181 and 5.419 Å, with angles of 90.00, 90.00 and 90.00 degrees. The inequivalent atoms are Ca at (0.000, 0.000, 0.000), P at (0.000, 0.500, 0.500), I at (0.500, 0.500, 0.500) and Cl at (0.500, 0.500, 0.000).

The relative energy among the computed polymorphs comes out at 38 meV/atom. The calculation puts the density at 3.02 g/cm3.



[9]
Compound: CaP2ICl
Source: Alexandria via LeMat-Bulk
Functional: PBE
Structure: relaxed

The space group is P4/mmm (No. 123) and the conventional cell measures 5.612, 5.612 and 5.059 Å, with angles of 90.00, 90.00 and 90.00 degrees. The inequivalent atoms are Ca at (0.000, 0.000, 0.000), P at (0.000, 0.500, 0.000), I at (0.500, 0.500, 0.500) and Cl at (0.000, 0.000, 0.500).

The relative energy among the computed polymorphs comes out at 0 meV/atom. The calculation puts the density at 2.76 g/cm3.



[10]
Compound: CaPb3I2Cl6
Source: Alexandria via LeMat-Bulk
Functional: PBE
Structure: relaxed

The space group is C2/m (No. 12) and the conventional cell measures 15.108, 8.420 and 6.811 Å, with angles of 90.00, 96.21 and 90.00 degrees. The inequivalent atoms are Ca at (0.000, 0.000, 0.000), Pb at (0.000, 0.500, 0.500), Pb at (0.250, 0.250, 0.000), I at (0.186, 0.500, 0.313), Cl at (0.071, 0.244, 0.777) and Cl at (0.165, 0.000, 0.206).

The calculation puts the density at 4.35 g/cm3.



[11]
Compound: CaPb3I6Cl2
Source: Alexandria via LeMat-Bulk
Functional: PBE
Structure: relaxed

The space group is C2/m (No. 12) and the conventional cell measures 15.598, 9.036 and 7.138 Å, with angles of 90.00, 97.93 and 90.00 degrees. The inequivalent atoms are Ca at (0.000, 0.000, 0.000), Pb at (0.000, 0.500, 0.500), Pb at (0.250, 0.250, 0.000), I at (0.095, 0.250, 0.262), I at (0.145, 0.000, 0.742) and Cl at (0.162, 0.500, 0.777).

The calculation puts the density at 4.98 g/cm3.



[12]
Compound: Rb2CaICl6
Source: Alexandria via LeMat-Bulk
Functional: PBE
Structure: relaxed

The space group is I4/mmm (No. 139) and the conventional cell measures 8.401, 8.401 and 10.582 Å, with angles of 90.00, 90.00 and 90.00 degrees. The inequivalent atoms are Rb at (0.000, 0.500, 0.250), Ca at (0.000, 0.000, 0.000), I at (0.000, 0.000, 0.500), Cl at (0.000, 0.000, 0.264) and Cl at (0.225, 0.225, 0.000).

The calculation puts the density at 2.45 g/cm3.



[13]
Compound: Rb2CaI2Cl2
Source: Alexandria via LeMat-Bulk
Functional: PBE
Structure: relaxed

The space group is I4/mmm (No. 139) and the conventional cell measures 5.433, 5.433 and 18.883 Å, with angles of 90.00, 90.00 and 90.00 degrees. The inequivalent atoms are Rb at (0.000, 0.000, 0.134), Ca at (0.000, 0.000, 0.500), I at (0.000, 0.000, 0.333) and Cl at (0.000, 0.500, 0.000).

The calculation puts the density at 3.19 g/cm3.



[14]
Compound: Rb2CaI3Cl
Source: Alexandria via LeMat-Bulk
Functional: PBE
Structure: relaxed

The space group is Immm (No. 71) and the conventional cell measures 5.375, 6.158 and 19.122 Å, with angles of 90.00, 90.00 and 90.00 degrees. The inequivalent atoms are Rb at (0.000, 0.000, 0.143), Ca at (0.000, 0.000, 0.500), I at (0.000, 0.000, 0.335), I at (0.000, 0.500, 0.500) and Cl at (0.000, 0.500, 0.000).

The calculation puts the density at 3.29 g/cm3.



Formation energy (no corrections) readings, ordered: 139, 198, 538, 708, 231, -1127, -1225, 178, 160, -1509, -1132, -1348, -1274, -1147 kJ/mol of formula units
Total magnetization readings, ordered: 0.810, 0.668, 0.914, 0.293, 0.049, 0.000, 0.000, 0.000, 0.345, 0.000, 0.000, 0.100, 0.000, 0.000 μB per atom